Entry 1
DFT (GGA-PBE) results for a geometry-optimized BeIrCl2 structure.

Properties
DOS at the Fermi energy ... 0.6748 states/eV/atom

a = 2.814 Å, b = 2.814 Å, c = 11.267 Å
α = 90.00°, β = 90.00°, γ = 90.00°
Each line ends with the local moment (μB).
Fractional coordinates of all 4 atoms:
1 Ir 0.500 0.500 0.250  1.52
2 Cl 0.000 0.000 0.876  0.00
3 Cl 0.000 0.000 0.624  0.00
4 Be 0.500 0.500 0.750  0.00

Entry 2
DFT (GGA-PBE) results for a geometry-optimized BeIrCl2 structure.

Properties
DOS at the Fermi energy ... 0.2199 states/eV/atom

a = 5.402 Å, b = 5.402 Å, c = 6.051 Å
α = 63.49°, β = 63.49°, γ = 90.00°
Each line ends with the local moment (μB).
Fractional coordinates of all 8 atoms:
1 Ir 0.750 0.250 0.500  0.93
2 Ir 0.000 0.000 0.000  0.94
3 Cl 0.559 0.125 0.250  0.04
4 Cl 0.875 0.809 0.750  0.04
5 Cl 0.375 0.441 0.750  0.04
6 Cl 0.191 0.625 0.250  0.04
7 Be 0.250 0.750 0.500  0.00
8 Be 0.500 0.500 0.000  0.00

Entry 3
DFT (GGA-PBE) results for a geometry-optimized BeIrCl2 structure.

Properties
DOS at the Fermi energy ... 0.4827 states/eV/atom

a = 3.024 Å, b = 3.024 Å, c = 11.634 Å
α = 90.00°, β = 90.00°, γ = 122.60°
Each line ends with the local moment (μB).
Fractional coordinates of all 4 atoms:
1 Be 0.500 0.500 0.750  0.00
2 Cl 0.000 0.000 0.625  0.00
3 Cl 0.000 0.000 0.875  0.00
4 Ir 0.500 0.500 0.250  1.48

Entry 4
DFT (GGA-PBE) results for a geometry-optimized BeIrCl2 structure.

Properties
DOS at the Fermi energy ... 0.7411 states/eV/atom

a = 3.111 Å, b = 3.115 Å, c = 8.485 Å
α = 90.00°, β = 90.00°, γ = 90.00°
Fractional coordinates of all 4 atoms:
1 Cl 0.500 0.500 0.344
2 Cl 0.000 0.000 0.925
3 Ir 0.000 0.000 0.666
4 Be 0.500 0.500 0.564

Least stable = entry 1